Computed, not measured: a relaxed structure of Sc2AgS2 at the PBE-GGA level of DFT.

Output
**Raw total energy**: -58.64 eV for the cell shown
**SG**: Cmcm, No. 63
**Size of the total moment**: 0.08 μB/atom

Cell and atoms, written as POSCAR:
```
Sc2AgS2
1.0
1.875 -4.326 0.000
1.875 4.326 0.000
0.000 0.000 12.630
Sc Ag S
4 2 4
Direct
0.155 0.845 0.605
0.155 0.845 0.895
0.845 0.155 0.105
0.845 0.155 0.395
0.492 0.508 0.750
0.508 0.492 0.250
0.144 0.856 0.097
0.144 0.856 0.403
0.856 0.144 0.597
0.856 0.144 0.903
```

=====

Computed, not measured: a relaxed structure of Sc3AgS at the PBE-GGA level of DFT.

Output
**Raw total energy**: -59.49 eV for the cell shown
**SG**: C2/c, No. 15
**Size of the total moment**: 0.00 μB/atom

Cell and atoms, written as POSCAR:
```
Sc3AgS
1.0
5.927 -3.311 0.000
5.927 3.311 0.000
-3.692 0.000 5.497
Sc Ag S
6 2 2
Direct
0.176 0.327 0.176
0.246 0.754 0.750
0.327 0.176 0.676
0.673 0.824 0.324
0.754 0.246 0.250
0.824 0.673 0.824
0.249 0.751 0.250
0.751 0.249 0.750
0.000 0.500 0.500
0.500 0.000 0.000
```

=====

Computed, not measured: a relaxed structure of ScAgSnSeS2 at the PBE-GGA level of DFT.

Output
**Raw total energy**: -60.41 eV for the cell shown
**SG**: Cmcm, No. 63
**Size of the total moment**: 0.00 μB/atom

Cell and atoms, written as POSCAR:
```
ScAgSnSeS2
1.0
1.920 -7.075 0.000
1.920 7.075 0.000
0.000 0.000 10.457
Sc Ag Sn Se S
2 2 2 2 4
Direct
0.000 0.000 0.000
0.000 0.000 0.500
0.346 0.654 0.750
0.654 0.346 0.250
0.319 0.681 0.250
0.681 0.319 0.750
0.042 0.958 0.750
0.958 0.042 0.250
0.376 0.624 0.519
0.376 0.624 0.981
0.624 0.376 0.019
0.624 0.376 0.481
```